! CrTcIrC2 PBE optimized geometry; values from VASP
! * DOS(E_F): 6.268 states/eV/f.u.
! * energy relative to the elements: 2.0321 eV per atom
! * magnetization: 0.042 μB/atom
&SYSTEM
  ibrav = 0, nat = 5, ntyp = 4
/
ATOMIC_SPECIES
Cr 52.00 Cr.upf
Tc 98.00 Tc.upf
Ir 192.22 Ir.upf
C 12.01 C.upf
CELL_PARAMETERS angstrom
3.8138 0.0000 0.0000
0.0000 3.8138 0.0000
0.0000 0.0000 5.2852
ATOMIC_POSITIONS angstrom
Cr 0.0000 0.0000 0.0000
Tc 1.9069 1.9069 2.6426
Ir 1.9069 1.9069 0.0000
C 0.0000 1.9069 2.6426
C 1.9069 0.0000 2.6426